## a
This record from OQMD describes a relaxed HfBeFePb crystal. The functional is PBE.

Structure (POSCAR):
```
HfBeFePb
1.0
0.000 3.256 3.256
3.256 0.000 3.256
3.256 3.256 0.000
Be Fe Hf Pb
1 1 1 1
Direct
0.750 0.750 0.750 Be
0.000 0.000 0.000 Fe
0.250 0.250 0.250 Hf
0.500 0.500 0.500 Pb
```

Total magnetization: 1.68 μB per formula unit

=====

## b
This record from OQMD describes a relaxed HfBeFePb crystal. The functional is PBE.

Structure (POSCAR):
```
HfBeFePb
1.0
3.501 0.378 2.726
-0.044 3.016 3.276
-0.326 -1.323 4.240
Be Fe Hf Pb
1 1 1 1
Direct
0.750 0.750 0.750 Be
0.250 0.250 0.250 Fe
0.000 0.000 0.000 Hf
0.500 0.500 0.500 Pb
```

Total magnetization: 0.00 μB per formula unit

=====

In terms of stability, b leads; the second structure lies 0.250 eV/atom higher.

=====

## a
This record from OQMD describes a relaxed BeZnFeHg crystal. The functional is PBE.

Structure (POSCAR):
```
BeZnFeHg
1.0
0.000 3.028 3.028
3.028 0.000 3.028
3.028 3.028 0.000
Be Fe Hg Zn
1 1 1 1
Direct
0.500 0.500 0.500 Be
0.750 0.750 0.750 Fe
0.250 0.250 0.250 Hg
0.000 0.000 0.000 Zn
```

Total magnetization: 2.16 μB per formula unit

=====

## b
This record from OQMD describes a relaxed BeZnFeHg crystal. The functional is PBE.

Structure (POSCAR):
```
BeZnFeHg
1.0
0.000 3.050 3.050
3.050 0.000 3.050
3.050 3.050 0.000
Be Fe Hg Zn
1 1 1 1
Direct
0.250 0.250 0.250 Be
0.750 0.750 0.750 Fe
0.500 0.500 0.500 Hg
0.000 0.000 0.000 Zn
```

Total magnetization: 2.36 μB per formula unit

=====

In terms of stability, a leads; the second structure lies 0.038 eV/atom higher.

=====

## a
This record from OQMD describes a relaxed BeInFe2 crystal. The functional is PBE.

Structure (POSCAR):
```
BeInFe2
1.0
5.913 0.000 0.000
0.000 5.913 0.000
0.000 0.000 5.913
Be Fe In
4 8 4
Direct
0.000 0.000 0.000 Be
0.500 0.000 0.000 Be
0.000 0.500 0.000 Be
0.000 0.000 0.500 Be
0.213 0.213 0.213 Fe
0.787 0.213 0.213 Fe
0.213 0.787 0.213 Fe
0.787 0.787 0.213 Fe
0.213 0.213 0.787 Fe
0.787 0.213 0.787 Fe
0.213 0.787 0.787 Fe
0.787 0.787 0.787 Fe
0.500 0.500 0.000 In
0.500 0.000 0.500 In
0.000 0.500 0.500 In
0.500 0.500 0.500 In
```

Total magnetization: 4.11 μB per formula unit

=====

## b
This record from OQMD describes a relaxed BeInFe2 crystal. The functional is PBE.

Structure (POSCAR):
```
BeInFe2
1.0
0.000 2.956 2.956
2.956 0.000 2.956
2.956 2.956 0.000
Be Fe In
1 2 1
Direct
0.250 0.250 0.250 Be
0.000 0.000 0.000 Fe
0.750 0.750 0.750 Fe
0.500 0.500 0.500 In
```

Total magnetization: 4.28 μB per formula unit

=====

In terms of stability, a leads; the second structure lies 0.069 eV/atom higher.